Entry 1:
Be2CoHI: single point on PBEsol structure, meta-GGA SCAN.

Computed properties:
- Symmetry: No. 123
- Uncorrected energy: -12.307 eV per atom
- Total magnetic moment: 0.0 μB/f.u.
- V: 56.28 Å³/cell

Geometry as POSCAR:
```
Be2CoHI
1.0
3.3313 0.0000 0.0000
0.0000 4.1102 0.0000
0.0000 0.0000 4.1102
H Co Be I
1 1 2 1
direct
0.0000 0.0000 0.0000
0.5000 0.0000 0.0000
0.0000 0.0000 0.5000
0.0000 0.5000 0.0000
0.5000 0.5000 0.5000
```


Entry 2:
RbCuSb3: single point on PBEsol structure, meta-GGA SCAN.

Computed properties:
- Raw formation energy: 1.98 eV per atom
- Symmetry: No. 221
- Uncorrected energy: -27.563 eV per atom
- Total magnetic moment: 0.0 μB/f.u.
- V: 198.31 Å³/cell

Geometry as POSCAR:
```
RbCuSb3
1.0
-1.2637 5.5475 1.2784
-3.6567 0.2127 -4.5376
-4.3632 -1.7849 3.4326
Sb Cu Rb
3 1 1
direct
0.0000 0.5000 0.0000
0.5000 0.0000 0.0000
0.0000 0.0000 0.5000
0.5000 0.5000 0.5000
0.0000 0.0000 0.0000
```


Entry 3:
SiSb2Te: single point on PBEsol structure, meta-GGA SCAN.

Computed properties:
- Raw formation energy: 0.61 eV per atom
- Symmetry: No. 119
- Uncorrected energy: -29.841 eV per atom
- Total magnetic moment: 0.0 μB/f.u.
- Distance to the lowest polymorph of the same formula: 82.9 meV per atom
- V: 98.01 Å³/cell

Geometry as POSCAR:
```
SiSb2Te
1.0
4.3074 0.0000 0.0000
0.0000 4.3074 0.0000
-2.1537 -2.1537 5.2825
Sb Si Te
2 1 1
direct
0.7500 0.2500 0.5000
0.0000 0.0000 0.0000
0.5000 0.5000 0.0000
0.2500 0.7500 0.5000
```


Entry 4:
Y2MgS4: single point on PBEsol structure, meta-GGA SCAN.

Computed properties:
- Raw formation energy: -2.10 eV per atom
- Symmetry: No. 122
- Uncorrected energy: -16.272 eV per atom
- Total magnetic moment: 0.0 μB/f.u.
- Distance to the lowest polymorph of the same formula: 88.6 meV per atom
- V: 271.78 Å³/cell

Geometry as POSCAR:
```
Y2MgS4
1.0
7.0702 0.0002 0.0003
-2.4816 6.6203 -0.0003
-2.4816 -3.1804 5.8064
S Mg Y
8 2 4
direct
0.2391 0.9896 0.3667
0.1228 0.6224 0.8833
0.6228 0.6333 0.8724
0.2609 0.5004 0.3776
0.7609 0.1276 0.7504
0.3772 0.2496 0.0104
0.8772 0.7604 0.4996
0.7391 0.1167 0.2396
0.0000 0.0000 0.0000
0.5000 0.7500 0.2500
0.1209 0.2459 0.6250
0.6209 0.3750 0.4959
0.8791 0.5041 0.1250
0.3791 0.8750 0.7541
```


Entry 5:
MgCd2Sb2: single point on PBEsol structure, meta-GGA SCAN.

Computed properties:
- Raw formation energy: 0.17 eV per atom
- Symmetry: No. 139
- Uncorrected energy: -27.899 eV per atom
- Total magnetic moment: 0.0 μB/f.u.
- V: 136.45 Å³/cell

Geometry as POSCAR:
```
MgCd2Sb2
1.0
4.6347 0.0000 0.0000
0.0000 4.6347 0.0000
-2.3174 -2.3174 6.3524
Cd Sb Mg
2 2 1
direct
0.6041 0.6041 0.2083
0.3959 0.3959 0.7917
0.7500 0.2500 0.5000
0.2500 0.7500 0.5000
0.0000 0.0000 0.0000
```


Entry 6:
BeNiRh2: single point on PBEsol structure, meta-GGA SCAN.

Computed properties:
- E_form: -0.33 eV per atom
- Symmetry: No. 123
- Uncorrected energy: -22.344 eV per atom
- Total magnetic moment: 1.8 μB/f.u.
- V: 45.13 Å³/cell

Geometry as POSCAR:
```
BeNiRh2
1.0
-1.5079 -1.8081 -1.3499
1.9106 -0.1593 -1.9209
2.7102 -4.5548 3.0735
Be Rh Ni
1 2 1
direct
0.5000 0.5000 0.0000
0.0000 0.0000 0.2236
0.0000 0.0000 0.7764
0.5000 0.5000 0.5000
```


Entry 7:
KRbFe2Rh: single point on PBEsol structure, meta-GGA SCAN.

Computed properties:
- E_form: 2.30 eV per atom
- Symmetry: No. 123
- Uncorrected energy: -17.518 eV per atom
- Total magnetic moment: 5.7 μB/f.u.
- V: 112.30 Å³/cell

Geometry as POSCAR:
```
KRbFe2Rh
1.0
4.6310 0.0000 0.0000
0.0000 4.6310 0.0000
0.0000 0.0000 5.2361
K Rh Fe Rb
1 1 2 1
direct
0.0000 0.0000 0.0000
0.5000 0.5000 0.5000
0.0000 0.5000 0.0000
0.5000 0.0000 0.0000
0.0000 0.0000 0.5000
```


Entry 8:
LiCdBSe2: single point on PBEsol structure, meta-GGA SCAN.

Computed properties:
- Raw formation energy: 0.37 eV per atom
- Symmetry: No. 123
- Uncorrected energy: -15.709 eV per atom
- Total magnetic moment: 0.0 μB/f.u.
- V: 87.27 Å³/cell

Geometry as POSCAR:
```
LiCdBSe2
1.0
4.1866 0.0000 0.0000
0.0000 4.5657 0.0000
0.0000 0.0000 4.5657
Cd Li B Se
1 1 1 2
direct
0.5000 0.5000 0.5000
0.5000 0.0000 0.0000
0.0000 0.0000 0.0000
0.0000 0.5000 0.0000
0.0000 0.0000 0.5000
```


Entry 9:
Sr2Te2C: single point on PBEsol structure, meta-GGA SCAN.

Computed properties:
- Raw formation energy: 0.25 eV per atom
- Symmetry: No. 139
- Uncorrected energy: -25.583 eV per atom
- Total magnetic moment: 1.5 μB/f.u.
- V: 150.97 Å³/cell

Geometry as POSCAR:
```
Sr2Te2C
1.0
4.2255 0.0000 0.0000
0.0000 4.2255 0.0000
-2.1127 -2.1127 8.4554
Te Sr C
2 2 1
direct
0.2500 0.7500 0.5000
0.7500 0.2500 0.5000
0.4062 0.4062 0.8124
0.5938 0.5938 0.1876
0.0000 0.0000 0.0000
```


Entry 10:
Sr2MnNi: single point on PBEsol structure, meta-GGA SCAN.

Computed properties:
- E_form: 0.36 eV per atom
- Symmetry: No. 123
- Uncorrected energy: -19.388 eV per atom
- Total magnetic moment: 3.9 μB/f.u.
- V: 99.40 Å³/cell

Geometry as POSCAR:
```
Sr2MnNi
1.0
3.7607 0.0000 0.0000
0.0000 5.1410 0.0000
0.0000 0.0000 5.1410
Mn Sr Ni
1 2 1
direct
0.5000 0.5000 0.5000
0.0000 0.5000 0.0000
0.0000 0.0000 0.5000
0.5000 0.0000 0.0000
```


Entry 11:
YPIr2: single point on PBEsol structure, meta-GGA SCAN.

Computed properties:
- E_form: -0.40 eV per atom
- Symmetry: No. 99
- Uncorrected energy: -45.508 eV per atom
- Total magnetic moment: 0.0 μB/f.u.
- V: 65.74 Å³/cell

Geometry as POSCAR:
```
YPIr2
1.0
-2.5209 1.4858 -1.0329
0.8582 -0.5778 -2.9256
-3.5051 -5.8576 0.1286
Ir Y P
2 1 1
direct
0.0000 0.0000 0.0221
0.5000 0.5000 0.2915
0.5000 0.5000 0.7522
0.0000 0.0000 0.4342
```


Entry 12:
MnOsBr2: single point on PBEsol structure, meta-GGA SCAN.

Computed properties:
- Raw formation energy: 1.30 eV per atom
- Symmetry: No. 216
- Uncorrected energy: -30.960 eV per atom
- Total magnetic moment: 2.2 μB/f.u.
- Distance to the lowest polymorph of the same formula: 1132.0 meV per atom
- V: 70.68 Å³/cell

Geometry as POSCAR:
```
MnOsBr2
1.0
-2.9037 -2.1786 -2.8915
-2.4989 -3.6097 1.5047
-4.5872 0.4260 0.5611
Mn Br Os
1 2 1
direct
0.5000 0.5000 0.5000
0.7500 0.7500 0.7500
0.0000 0.0000 0.0000
0.2500 0.2500 0.2500
```


Entry 13:
Mn2AsIrS: single point on PBEsol structure, meta-GGA SCAN.

Computed properties:
- Raw formation energy: 1.00 eV per atom
- Symmetry: No. 123
- Uncorrected energy: -26.484 eV per atom
- Total magnetic moment: 8.1 μB/f.u.
- V: 89.70 Å³/cell

Geometry as POSCAR:
```
Mn2AsIrS
1.0
4.4404 0.0000 0.0000
0.0000 4.4404 0.0000
0.0000 0.0000 4.5492
Mn Ir As S
2 1 1 1
direct
0.5000 0.0000 0.0000
0.0000 0.5000 0.0000
0.5000 0.5000 0.5000
0.0000 0.0000 0.0000
0.0000 0.0000 0.5000
```